(1)
An optimized crystal structure of Ac4Te2AsIr, computed with GGA-PBE.

Cell lengths 7.949, 4.499, 8.218 Å; angles 90.00, 107.50, 90.00 degrees
Fractional positions:
Ac 0.228 0.000 0.212
Ac 0.245 0.500 0.785
Ac 0.755 0.500 0.215
Ac 0.772 0.000 0.788
Te 0.000 0.000 0.500
Te 0.500 0.500 0.500
As 0.500 0.000 0.000
Ir 0.000 0.500 0.000

Output
Formation energy (no corrections)   -1.309 eV per atom

***

(2)
An optimized crystal structure of Ac2TiAs3Ir4, computed with GGA-PBE.

Cell lengths 4.264, 4.264, 10.848 Å; angles 90.00, 90.00, 90.00 degrees
Fractional positions:
Ac 0.000 0.500 0.247
Ac 0.500 0.000 0.753
Ti 0.000 0.000 0.500
As 0.000 0.500 0.867
As 0.500 0.000 0.133
As 0.500 0.500 0.500
Ir 0.000 0.000 0.000
Ir 0.000 0.500 0.632
Ir 0.500 0.000 0.368
Ir 0.500 0.500 0.000

Output
Calculated total energy   -7.314 eV per atom

***

(3)
An optimized crystal structure of KAcAs4, computed with GGA-PBE.

Cell lengths 5.922, 5.922, 5.922 Å; angles 60.00, 60.00, 60.00 degrees
Fractional positions:
K 0.000 0.000 0.000
Ac 0.750 0.750 0.750
As 0.374 0.374 0.374
As 0.374 0.374 0.879
As 0.374 0.879 0.374
As 0.879 0.374 0.374

Output
Calculated total energy   -4.366 eV per atom

***

(4)
An optimized crystal structure of KAc3As, computed with GGA-PBE.

Cell lengths 6.185, 6.185, 6.185 Å; angles 90.00, 90.00, 90.00 degrees
Fractional positions:
K 0.000 0.000 0.000
Ac 0.000 0.500 0.500
Ac 0.500 0.000 0.500
Ac 0.500 0.500 0.000
As 0.500 0.500 0.500

Output
Calculated total energy   -3.845 eV per atom

***

(5)
An optimized crystal structure of KLi2AcAs2, computed with GGA-PBE.

Cell lengths 4.544, 4.544, 8.837 Å; angles 90.00, 90.00, 120.00 degrees
Fractional positions:
K 0.000 0.000 0.000
Li 0.333 0.667 0.756
Li 0.667 0.333 0.244
Ac 0.000 0.000 0.500
As 0.333 0.667 0.284
As 0.667 0.333 0.716

Output
Calculated total energy   -3.951 eV per atom

***

(6)
An optimized crystal structure of K3Ac3AsO8, computed with GGA-PBE.

Cell lengths 7.651, 7.651, 7.651 Å; angles 57.43, 57.43, 57.43 degrees
Fractional positions:
K 0.000 0.500 0.500
K 0.500 0.000 0.500
K 0.500 0.500 0.000
Ac 0.000 0.000 0.500
Ac 0.000 0.500 0.000
Ac 0.500 0.000 0.000
As 0.500 0.500 0.500
O 0.234 0.234 0.234
O 0.283 0.694 0.694
O 0.306 0.306 0.717
O 0.306 0.717 0.306
O 0.694 0.283 0.694
O 0.694 0.694 0.283
O 0.717 0.306 0.306
O 0.766 0.766 0.766

Output
Formation energy (no corrections)   -2.211 eV per atom

***

(7)
An optimized crystal structure of K3AcAs2O8, computed with GGA-PBE.

Cell lengths 6.158, 6.158, 8.022 Å; angles 90.00, 90.00, 120.00 degrees
Fractional positions:
K 0.000 0.000 0.000
K 0.333 0.667 0.710
K 0.667 0.333 0.290
Ac 0.000 0.000 0.500
As 0.333 0.667 0.230
As 0.667 0.333 0.770
O 0.182 0.365 0.313
O 0.182 0.818 0.313
O 0.333 0.667 0.021
O 0.365 0.182 0.687
O 0.635 0.818 0.313
O 0.667 0.333 0.979
O 0.818 0.182 0.687
O 0.818 0.635 0.687

Output
Formation energy (no corrections)   -1.989 eV per atom

***

(8)
An optimized crystal structure of KAc2AsO6, computed with GGA-PBE.

Cell lengths 5.714, 5.714, 5.335 Å; angles 90.00, 90.00, 90.00 degrees
Fractional positions:
K 0.000 0.000 0.000
Ac 0.000 0.500 0.460
Ac 0.500 0.000 0.460
As 0.500 0.500 0.082
O 0.000 0.000 0.535
O 0.286 0.286 0.189
O 0.286 0.714 0.189
O 0.500 0.500 0.751
O 0.714 0.286 0.189
O 0.714 0.714 0.189

Output
Formation energy (no corrections)   -2.283 eV per atom

***

(9)
An optimized crystal structure of K2AcAs2O7, computed with GGA-PBE.

Cell lengths 8.804, 8.804, 8.804 Å; angles 39.29, 39.29, 39.29 degrees
Fractional positions:
K 0.216 0.216 0.216
K 0.784 0.784 0.784
Ac 0.000 0.000 0.000
As 0.421 0.421 0.421
As 0.579 0.579 0.579
O 0.150 0.344 0.701
O 0.299 0.656 0.850
O 0.344 0.701 0.150
O 0.500 0.500 0.500
O 0.656 0.850 0.299
O 0.701 0.150 0.344
O 0.850 0.299 0.656

Output
Formation energy (no corrections)   -1.846 eV per atom

***

(10)
An optimized crystal structure of K2AcAsO4, computed with GGA-PBE.

Cell lengths 6.086, 6.086, 6.086 Å; angles 117.53, 117.53, 94.34 degrees
Fractional positions:
K 0.000 0.000 0.000
K 0.750 0.250 0.500
Ac 0.500 0.500 0.000
As 0.250 0.750 0.500
O 0.168 0.083 0.547
O 0.379 0.832 0.915
O 0.536 0.621 0.453
O 0.917 0.464 0.085

Output
Formation energy (no corrections)   -1.769 eV per atom

***

(11)
An optimized crystal structure of KAcAs2O8, computed with GGA-PBE.

Cell lengths 6.473, 6.473, 6.473 Å; angles 106.63, 106.63, 115.31 degrees
Fractional positions:
K 0.000 0.000 0.000
Ac 0.750 0.250 0.500
As 0.250 0.750 0.500
As 0.500 0.500 0.000
O 0.091 0.420 0.329
O 0.091 0.762 0.671
O 0.174 0.355 0.819
O 0.238 0.909 0.329
O 0.536 0.355 0.181
O 0.580 0.909 0.671
O 0.645 0.464 0.819
O 0.645 0.826 0.181

Output
Formation energy (no corrections)   -1.592 eV per atom

***

(12)
An optimized crystal structure of KAc2AsO5, computed with GGA-PBE.

Cell lengths 7.218, 7.218, 6.147 Å; angles 90.00, 90.00, 90.00 degrees
Fractional positions:
K 0.000 0.000 0.000
K 0.500 0.500 0.000
Ac 0.179 0.321 0.500
Ac 0.321 0.821 0.500
Ac 0.679 0.179 0.500
Ac 0.821 0.679 0.500
As 0.000 0.500 0.000
As 0.500 0.000 0.000
O 0.000 0.000 0.500
O 0.133 0.633 0.245
O 0.133 0.633 0.755
O 0.367 0.133 0.245
O 0.367 0.133 0.755
O 0.500 0.500 0.500
O 0.633 0.867 0.245
O 0.633 0.867 0.755
O 0.867 0.367 0.245
O 0.867 0.367 0.755

Output
Formation energy (no corrections)   -2.264 eV per atom

***

(13)
An optimized crystal structure of KAcAsO4, computed with GGA-PBE.

Cell lengths 6.986, 6.986, 6.986 Å; angles 123.58, 115.82, 90.65 degrees
Fractional positions:
K 0.500 0.000 0.000
K 0.500 0.500 0.500
Ac 0.000 0.000 0.000
Ac 0.500 0.000 0.500
As 0.110 0.360 0.750
As 0.890 0.640 0.250
O 0.191 0.742 0.449
O 0.206 0.258 0.949
O 0.221 0.246 0.524
O 0.221 0.697 0.976
O 0.779 0.303 0.024
O 0.779 0.754 0.476
O 0.794 0.742 0.051
O 0.809 0.258 0.551

Output
Formation energy (no corrections)   -1.868 eV per atom

***

(14)
An optimized crystal structure of KAcAsO5, computed with GGA-PBE.

Cell lengths 6.380, 6.380, 8.548 Å; angles 102.94, 102.94, 106.16 degrees
Fractional positions:
K 0.164 0.836 0.750
K 0.836 0.164 0.250
Ac 0.500 0.500 0.000
Ac 0.500 0.500 0.500
As 0.179 0.821 0.250
As 0.821 0.179 0.750
O 0.088 0.245 0.890
O 0.181 0.624 0.360
O 0.245 0.088 0.390
O 0.376 0.819 0.140
O 0.430 0.570 0.750
O 0.570 0.430 0.250
O 0.624 0.181 0.860
O 0.755 0.912 0.610
O 0.819 0.376 0.640
O 0.912 0.755 0.110

Output
Formation energy (no corrections)   -1.953 eV per atom

***

(15)
An optimized crystal structure of KAcAs2Pd2, computed with GGA-PBE.

Cell lengths 4.342, 4.342, 9.524 Å; angles 90.00, 90.00, 120.00 degrees
Fractional positions:
K 0.000 0.000 0.000
Ac 0.000 0.000 0.500
As 0.333 0.667 0.727
As 0.667 0.333 0.273
Pd 0.333 0.667 0.265
Pd 0.667 0.333 0.735

Output
Calculated total energy   -4.963 eV per atom

***

(16)
An optimized crystal structure of KAcAsPd, computed with GGA-PBE.

Cell lengths 5.382, 5.382, 5.382 Å; angles 60.00, 60.00, 60.00 degrees
Fractional positions:
K 0.000 0.000 0.000
Ac 0.500 0.500 0.500
As 0.750 0.750 0.750
Pd 0.250 0.250 0.250

Output
Calculated total energy   -4.271 eV per atom

***

(17)
An optimized crystal structure of KAcAs2Pt4, computed with GGA-PBE.

Cell lengths 4.118, 4.118, 11.336 Å; angles 90.00, 90.00, 90.00 degrees
Fractional positions:
K 0.000 0.000 0.000
Ac 0.000 0.000 0.500
As 0.500 0.500 0.170
As 0.500 0.500 0.830
Pt 0.000 0.500 0.291
Pt 0.000 0.500 0.709
Pt 0.500 0.000 0.291
Pt 0.500 0.000 0.709

Output
Calculated total energy   -5.450 eV per atom

***

(18)
An optimized crystal structure of K2AcAs2S6, computed with GGA-PBE.

Cell lengths 7.042, 7.042, 8.679 Å; angles 113.70, 113.70, 62.44 degrees
Fractional positions:
K 0.200 0.200 0.174
K 0.800 0.800 0.826
Ac 0.000 0.000 0.500
As 0.459 0.459 0.816
As 0.541 0.541 0.184
S 0.189 0.685 0.197
S 0.266 0.266 0.589
S 0.315 0.811 0.803
S 0.685 0.189 0.197
S 0.734 0.734 0.411
S 0.811 0.315 0.803

Output
Formation energy (no corrections)   -0.860 eV per atom

***

(19)
An optimized crystal structure of K2AcAsSe4, computed with GGA-PBE.

Cell lengths 8.874, 8.874, 8.874 Å; angles 122.00, 117.88, 90.14 degrees
Fractional positions:
K 0.000 0.000 0.000
K 0.500 0.000 0.000
K 0.500 0.000 0.500
K 0.500 0.500 0.500
Ac 0.000 0.500 0.500
Ac 0.500 0.500 0.000
As 0.000 0.000 0.500
As 0.000 0.500 0.000
Se 0.200 0.746 0.454
Se 0.208 0.254 0.954
Se 0.226 0.237 0.511
Se 0.226 0.715 0.989
Se 0.774 0.285 0.011
Se 0.774 0.763 0.489
Se 0.792 0.746 0.046
Se 0.800 0.254 0.546

Output
Formation energy (no corrections)   -1.106 eV per atom

***

(20)
An optimized crystal structure of Ac5La3As8, computed with GGA-PBE.

Cell lengths 8.978, 8.978, 8.978 Å; angles 60.00, 60.00, 60.00 degrees
Fractional positions:
Ac 0.000 0.000 0.000
Ac 0.000 0.500 0.500
Ac 0.500 0.000 0.500
Ac 0.500 0.500 0.000
Ac 0.500 0.500 0.500
La 0.000 0.000 0.500
La 0.000 0.500 0.000
La 0.500 0.000 0.000
As 0.243 0.750 0.750
As 0.247 0.247 0.247
As 0.250 0.250 0.757
As 0.250 0.757 0.250
As 0.750 0.243 0.750
As 0.750 0.750 0.243
As 0.753 0.753 0.753
As 0.757 0.250 0.250

Output
Calculated total energy   -6.042 eV per atom

***

no.,V (Å³/cell)
1,280.3
2,197.2
3,146.8
4,236.6
5,158.0
6,298.0
7,263.4
8,174.2
9,246.3
10,164.8
11,207.2
12,320.3
13,240.8
14,310.1
15,155.5
16,110.2
17,192.2
18,336.8
19,493.8
20,511.7